# CsLi3Pa2Se6, relaxed, DFT PBE
# formation energy from raw total energies = -1.30 eV per atom
# V = 360.6 Å³/cell
data_CsLi3Pa2Se6
_chemical_formula_sum 'Cs1 Li3 Pa2 Se6'
_symmetry_space_group_name_H-M 'P 1'
_symmetry_Int_Tables_number 1
_cell_length_a 4.181
_cell_length_b 10.444
_cell_length_c 8.584
_cell_angle_alpha 97.05
_cell_angle_beta 104.10
_cell_angle_gamma 90.00
loop_
_symmetry_equiv_pos_as_xyz
'x,y,z'
loop_
_atom_site_label
_atom_site_type_symbol
_atom_site_fract_x
_atom_site_fract_y
_atom_site_fract_z
Pa1 Pa 0.830 0.652 0.660
Pa2 Pa 0.170 0.348 0.340
Li1 Li 0.146 0.696 0.292
Li2 Li 0.854 0.304 0.708
Li3 Li 0.500 0.500 0.000
Se1 Se 0.993 0.705 0.987
Se2 Se 0.707 0.182 0.414
Se3 Se 0.660 0.544 0.320
Se4 Se 0.340 0.456 0.680
Se5 Se 0.007 0.295 0.013
Se6 Se 0.293 0.818 0.586
Cs1 Cs 0.500 0.000 0.000

# Cs2LiPaSe4, relaxed, DFT PBE
# formation energy from raw total energies = -1.31 eV per atom
# V = 262.1 Å³/cell
data_Cs2LiPaSe4
_chemical_formula_sum 'Cs2 Li1 Pa1 Se4'
_symmetry_space_group_name_H-M 'P 1'
_symmetry_Int_Tables_number 1
_cell_length_a 4.374
_cell_length_b 7.260
_cell_length_c 8.623
_cell_angle_alpha 106.80
_cell_angle_beta 90.00
_cell_angle_gamma 90.00
loop_
_symmetry_equiv_pos_as_xyz
'x,y,z'
loop_
_atom_site_label
_atom_site_type_symbol
_atom_site_fract_x
_atom_site_fract_y
_atom_site_fract_z
Cs1 Cs 0.000 0.500 0.500
Cs2 Cs 0.500 0.000 0.500
Se1 Se 0.500 0.217 0.180
Se2 Se 0.000 0.249 0.820
Se3 Se 0.000 0.751 0.180
Se4 Se 0.500 0.783 0.820
Pa1 Pa 0.000 0.000 0.000
Li1 Li 0.500 0.500 0.000

# Cs3LiPa3Se8, relaxed, DFT PBE
# formation energy from raw total energies = -1.35 eV per atom
# V = 524.8 Å³/cell
data_Cs3LiPa3Se8
_chemical_formula_sum 'Cs3 Li1 Pa3 Se8'
_symmetry_space_group_name_H-M 'P 1'
_symmetry_Int_Tables_number 1
_cell_length_a 8.447
_cell_length_b 8.446
_cell_length_c 9.795
_cell_angle_alpha 115.54
_cell_angle_beta 90.00
_cell_angle_gamma 120.01
loop_
_symmetry_equiv_pos_as_xyz
'x,y,z'
loop_
_atom_site_label
_atom_site_type_symbol
_atom_site_fract_x
_atom_site_fract_y
_atom_site_fract_z
Se1 Se 0.730 0.459 0.689
Se2 Se 0.767 0.052 0.319
Se3 Se 0.716 0.948 0.681
Se4 Se 0.270 0.541 0.311
Se5 Se 0.232 0.465 0.681
Se6 Se 0.284 0.052 0.319
Se7 Se 0.768 0.535 0.319
Se8 Se 0.233 0.948 0.681
Cs1 Cs 0.000 0.000 0.000
Cs2 Cs 0.500 0.500 0.000
Cs3 Cs 0.000 0.500 0.000
Pa1 Pa 0.500 0.500 0.500
Pa2 Pa 0.500 0.000 0.500
Pa3 Pa 0.000 0.500 0.500
Li1 Li 0.000 0.000 0.500

# CsLiPaSe3, relaxed, DFT PBE
# formation energy from raw total energies = -1.39 eV per atom
# V = 393.6 Å³/cell
data_CsLiPaSe3
_chemical_formula_sum 'Cs2 Li2 Pa2 Se6'
_symmetry_space_group_name_H-M 'P 1'
_symmetry_Int_Tables_number 1
_cell_length_a 4.284
_cell_length_b 9.718
_cell_length_c 10.104
_cell_angle_alpha 110.67
_cell_angle_beta 90.00
_cell_angle_gamma 90.00
loop_
_symmetry_equiv_pos_as_xyz
'x,y,z'
loop_
_atom_site_label
_atom_site_type_symbol
_atom_site_fract_x
_atom_site_fract_y
_atom_site_fract_z
Cs1 Cs 0.250 0.213 0.259
Cs2 Cs 0.750 0.787 0.741
Pa1 Pa 0.250 0.675 0.152
Pa2 Pa 0.750 0.325 0.848
Se1 Se 0.250 0.527 0.847
Se2 Se 0.250 0.801 0.446
Se3 Se 0.750 0.864 0.132
Se4 Se 0.750 0.473 0.153
Se5 Se 0.250 0.136 0.868
Se6 Se 0.750 0.199 0.554
Li1 Li 0.250 0.079 0.598
Li2 Li 0.750 0.921 0.402

# Cs2LiPaTe4, relaxed, DFT PBE
# formation energy from raw total energies = -0.85 eV per atom
# V = 342.8 Å³/cell
data_Cs2LiPaTe4
_chemical_formula_sum 'Cs2 Li1 Pa1 Te4'
_symmetry_space_group_name_H-M 'P 1'
_symmetry_Int_Tables_number 1
_cell_length_a 7.873
_cell_length_b 7.683
_cell_length_c 7.683
_cell_angle_alpha 74.78
_cell_angle_beta 59.18
_cell_angle_gamma 59.18
loop_
_symmetry_equiv_pos_as_xyz
'x,y,z'
loop_
_atom_site_label
_atom_site_type_symbol
_atom_site_fract_x
_atom_site_fract_y
_atom_site_fract_z
Te1 Te 0.591 0.000 0.326
Te2 Te 0.082 0.326 0.000
Te3 Te 0.918 0.000 0.674
Te4 Te 0.409 0.674 0.000
Cs1 Cs 0.500 0.500 0.500
Cs2 Cs 0.000 0.500 0.500
Li1 Li 0.500 0.000 0.000
Pa1 Pa 0.000 0.000 0.000

# CsLiPaTe4, relaxed, DFT PBE
# formation energy from raw total energies = -0.89 eV per atom
# V = 502.7 Å³/cell
data_CsLiPaTe4
_chemical_formula_sum 'Cs2 Li2 Pa2 Te8'
_symmetry_space_group_name_H-M 'P 1'
_symmetry_Int_Tables_number 1
_cell_length_a 7.788
_cell_length_b 6.261
_cell_length_c 10.823
_cell_angle_alpha 90.00
_cell_angle_beta 107.71
_cell_angle_gamma 90.00
loop_
_symmetry_equiv_pos_as_xyz
'x,y,z'
loop_
_atom_site_label
_atom_site_type_symbol
_atom_site_fract_x
_atom_site_fract_y
_atom_site_fract_z
Cs1 Cs 0.768 0.750 0.950
Cs2 Cs 0.232 0.250 0.050
Pa1 Pa 0.731 0.750 0.444
Pa2 Pa 0.269 0.250 0.556
Li1 Li 0.729 0.250 0.675
Li2 Li 0.271 0.750 0.325
Te1 Te 0.566 0.250 0.419
Te2 Te 0.984 0.493 0.316
Te3 Te 0.434 0.750 0.581
Te4 Te 0.484 0.750 0.177
Te5 Te 0.516 0.250 0.823
Te6 Te 0.984 0.007 0.316
Te7 Te 0.016 0.993 0.684
Te8 Te 0.016 0.507 0.684